GGA-PBE Y3Er5H12, relaxed; energy = -367.63 eV per cell; mass density = 6.789 g/cm³; SG = Ia-3d
1.0
-1.913 -2.707 10.733
-5.184 -7.374 -6.703
11.049 -0.238 -2.009
Y Er H
12 20 48
direct
0.750 0.375 0.125
0.875 0.750 0.125
0.375 0.750 0.625
0.250 0.125 0.375
0.875 0.125 0.250
0.375 0.625 0.250
0.625 0.375 0.750
0.125 0.875 0.750
0.750 0.875 0.625
0.625 0.250 0.375
0.125 0.250 0.875
0.250 0.625 0.875
0.125 0.375 0.250
0.000 0.500 0.000
0.000 0.000 0.000
0.375 0.250 0.125
0.500 0.000 0.500
0.500 0.500 0.000
0.125 0.750 0.375
0.750 0.125 0.875
0.750 0.625 0.375
0.375 0.125 0.750
0.625 0.875 0.250
0.500 0.500 0.500
0.500 0.000 0.000
0.000 0.000 0.500
0.250 0.375 0.625
0.250 0.875 0.125
0.000 0.500 0.500
0.875 0.250 0.625
0.625 0.750 0.875
0.875 0.625 0.750
0.721 0.153 0.063
0.342 0.563 0.410
0.937 0.347 0.279
0.563 0.221 0.153
0.568 0.721 0.658
0.937 0.590 0.158
0.342 0.779 0.432
0.090 0.932 0.153
0.590 0.937 0.658
0.721 0.568 0.158
0.779 0.437 0.347
0.842 0.910 0.063
0.153 0.721 0.563
0.347 0.410 0.068
0.068 0.910 0.347
0.432 0.153 0.590
0.068 0.158 0.221
0.437 0.658 0.090
0.842 0.932 0.279
0.153 0.432 0.090
0.347 0.937 0.779
0.590 0.653 0.432
0.910 0.842 0.563
0.779 0.342 0.932
0.410 0.347 0.568
0.090 0.158 0.437
0.221 0.658 0.068
0.158 0.068 0.721
0.653 0.063 0.221
0.847 0.568 0.910
0.563 0.342 0.910
0.568 0.847 0.410
0.932 0.842 0.779
0.932 0.090 0.653
0.847 0.279 0.437
0.158 0.090 0.937
0.653 0.590 0.932
0.410 0.063 0.342
0.279 0.432 0.842
0.221 0.563 0.653
0.910 0.068 0.847
0.658 0.221 0.568
0.437 0.779 0.847
0.063 0.410 0.842
0.432 0.279 0.342
0.063 0.653 0.721
0.658 0.437 0.590
0.279 0.847 0.937